(1)
First-principles (PBE-GGA) data for a geometry-optimized Sr2Pr4Sn3O2 structure, as listed in Alexandria via LeMat-Bulk.

Unit cell a=4.975 b=4.975 c=13.542 alpha=100.58 beta=100.58 gamma=90.00
Sites, in units of the cell vectors:
Pr 0.415 0.915 0.831
O 0.404 0.404 0.807
Sn 0.000 0.000 0.000
Sn 0.170 0.170 0.340
Sn 0.830 0.830 0.660
Sr 0.303 0.303 0.605
Pr 0.085 0.585 0.169
O 0.596 0.596 0.193
Sr 0.697 0.697 0.395
Pr 0.915 0.415 0.831
Pr 0.585 0.085 0.169

## Properties
Space group: No. 139
Formation energy without anion corrections, meV/atom: -1459

---

(2)
First-principles (PBE-GGA) data for a geometry-optimized CoRe2Tc structure, as listed in Alexandria via LeMat-Bulk.

Unit cell a=3.808 b=3.808 c=3.796 alpha=90.00 beta=90.00 gamma=90.00
Sites, in units of the cell vectors:
Co 0.000 0.500 0.500
Tc 0.500 0.000 0.500
Re 0.500 0.500 0.000
Re 0.000 0.000 0.000

## Properties
Space group: No. 123
Energy of formation, eV/f.u.: 0.1

---

(3)
First-principles (PBE-GGA) data for a geometry-optimized TlSn2Pb structure, as listed in Alexandria via LeMat-Bulk.

Unit cell a=6.857 b=6.857 c=8.262 alpha=65.48 beta=65.48 gamma=90.00
Sites, in units of the cell vectors:
Sn 0.129 0.625 0.250
Sn 0.621 0.125 0.250
Pb 0.750 0.250 0.500
Tl 0.500 0.500 0.000
Tl 0.250 0.750 0.500
Sn 0.875 0.871 0.750
Pb 0.000 0.000 0.000
Sn 0.375 0.379 0.750

## Properties
Space group: No. 122
Energy of formation, eV/f.u.: 0.9

---

(4)
First-principles (PBE-GGA) data for a geometry-optimized TiAg2PbO4 structure, as listed in Alexandria via LeMat-Bulk.

Unit cell a=5.210 b=5.210 c=6.011 alpha=112.05 beta=112.05 gamma=97.67
Sites, in units of the cell vectors:
O 0.404 0.784 0.188
O 0.619 0.619 0.774
Ti 0.488 0.488 0.977
O 0.784 0.404 0.188
Ag 0.257 0.757 0.514
O 0.155 0.155 0.774
Pb 0.036 0.036 0.072
Ag 0.757 0.257 0.514

## Properties
Space group: No. 42
Formation energy without anion corrections, meV/atom: -1396

---

(5)
First-principles (PBE-GGA) data for a geometry-optimized K2Li3PtF12 structure, as listed in Alexandria via LeMat-Bulk.

Unit cell a=7.677 b=7.677 c=7.677 alpha=53.67 beta=53.67 gamma=53.67
Last column: magnetic moment on the atom in μB.
Sites, in units of the cell vectors:
F 0.333 0.333 0.917  0.33
F 0.081 0.676 0.081  0.07
Li 0.000 0.500 0.000  0.00
F 0.919 0.919 0.324  0.07
F 0.667 0.083 0.667  0.33
F 0.081 0.081 0.676  0.07
F 0.676 0.081 0.081  0.07
Li 0.000 0.000 0.500  0.00
F 0.333 0.917 0.333  0.33
F 0.917 0.333 0.333  0.33
F 0.667 0.667 0.083  0.33
K 0.598 0.598 0.598  0.00
Li 0.500 0.000 0.000  0.00
K 0.402 0.402 0.402  0.00
F 0.083 0.667 0.667  0.33
F 0.919 0.324 0.919  0.07
F 0.324 0.919 0.919  0.07
Pt 0.000 0.000 0.000  0.45

## Properties
Space group: No. 166
Formation energy without anion corrections, meV/atom: -1974

---

(6)
First-principles (PBE-GGA) data for a geometry-optimized CdAgOs2 structure, as listed in Alexandria via LeMat-Bulk.

Unit cell a=4.710 b=4.710 c=4.710 alpha=126.79 beta=126.79 gamma=78.59
Sites, in units of the cell vectors:
Ag 0.500 0.500 0.000
Cd 0.750 0.250 0.500
Os 0.000 0.000 0.000
Os 0.250 0.750 0.500

## Properties
Space group: No. 119
Energy of formation, eV/f.u.: 3.1

---

(7)
First-principles (PBE-GGA) data for a geometry-optimized NdFe10W2 structure, as listed in Alexandria via LeMat-Bulk.

Unit cell a=6.563 b=6.563 c=6.563 alpha=137.99 beta=98.00 gamma=96.77
Last column: magnetic moment on the atom in μB.
Sites, in units of the cell vectors:
Fe 0.774 0.500 0.274  2.15
Fe 0.500 0.000 0.000  1.74
Fe 0.226 0.500 0.726  2.15
Nd 0.000 0.000 0.000  -0.20
W 0.356 0.356 0.000  -0.39
Fe 0.500 0.500 0.500  1.74
Fe 0.000 0.500 0.000  1.74
Fe 0.000 0.000 0.500  1.74
Fe 0.770 0.270 0.500  1.94
Fe 0.640 0.000 0.640  2.50
Fe 0.360 0.000 0.360  2.50
W 0.644 0.644 0.000  -0.39
Fe 0.230 0.730 0.500  1.94

## Properties
Space group: No. 71
Energy of formation, eV/f.u.: 0.5

---

(8)
First-principles (PBE-GGA) data for a geometry-optimized Ce2NiGe4Pd3 structure, as listed in Alexandria via LeMat-Bulk.

Unit cell a=4.311 b=4.311 c=10.067 alpha=90.00 beta=90.00 gamma=90.00
Last column: magnetic moment on the atom in μB.
Sites, in units of the cell vectors:
Pd 0.000 0.000 0.500  0.00
Ni 0.500 0.500 0.500  -0.02
Ce 0.500 0.000 0.256  0.55
Ge 0.500 0.500 0.000  -0.01
Pd 0.000 0.500 0.132  -0.01
Ge 0.000 0.000 0.000  -0.01
Ce 0.000 0.500 0.744  0.55
Ge 0.000 0.500 0.376  0.00
Pd 0.500 0.000 0.868  -0.01
Ge 0.500 0.000 0.624  0.00

## Properties
Space group: No. 115
Energy of formation, eV/f.u.: -7.3

---

(9)
First-principles (PBE-GGA) data for a geometry-optimized LiRuCl2 structure, as listed in Alexandria via LeMat-Bulk.

Unit cell a=3.614 b=3.270 c=6.266 alpha=103.55 beta=90.00 gamma=90.00
Sites, in units of the cell vectors:
Ru 0.500 0.750 0.750
Cl 0.000 0.832 0.004
Cl 0.000 0.668 0.496
Li 0.500 0.250 0.250

## Properties
Space group: No. 10
Formation energy without anion corrections, meV/atom: -339

---

(10)
First-principles (PBE-GGA) data for a geometry-optimized Ca2ReSe structure, as listed in Alexandria via LeMat-Bulk.

Unit cell a=5.883 b=5.883 c=5.210 alpha=73.25 beta=73.25 gamma=31.98
Last column: magnetic moment on the atom in μB.
Sites, in units of the cell vectors:
Re 0.542 0.542 0.509  0.23
Ca 0.779 0.779 0.695  0.01
Se 0.206 0.206 0.243  0.01
Ca 0.974 0.974 0.054  0.00

## Properties
Space group: No. 8
Formation energy without anion corrections, meV/atom: -77

---

(11)
First-principles (PBE-GGA) data for a geometry-optimized TmPdPb2O6 structure, as listed in Alexandria via LeMat-Bulk.

Unit cell a=5.762 b=5.869 c=8.210 alpha=90.00 beta=90.03 gamma=90.00
Sites, in units of the cell vectors:
Pb 0.492 0.459 0.251
O 0.283 0.695 0.046
O 0.217 0.195 0.454
O 0.909 0.527 0.238
O 0.410 0.973 0.738
Pd 0.000 0.500 0.000
O 0.717 0.305 0.954
O 0.691 0.284 0.545
Pb 0.008 0.959 0.249
O 0.590 0.027 0.262
O 0.091 0.473 0.762
O 0.783 0.805 0.546
O 0.309 0.716 0.455
Tm 0.000 0.500 0.500
Pb 0.508 0.541 0.749
O 0.191 0.216 0.045
Pd 0.500 0.000 0.500
O 0.809 0.784 0.955
Pb 0.992 0.041 0.751
Tm 0.500 0.000 0.000

## Properties
Space group: No. 14
Formation energy without anion corrections, meV/atom: -1422

---

(12)
First-principles (PBE-GGA) data for a geometry-optimized La2TiTl3Te6 structure, as listed in Alexandria via LeMat-Bulk.

Unit cell a=7.769 b=7.769 c=8.537 alpha=98.84 beta=98.84 gamma=119.93
Last column: magnetic moment on the atom in μB.
Sites, in units of the cell vectors:
La 0.665 0.335 0.000  0.01
Te 0.770 0.770 0.220  -0.01
Te 0.628 0.931 0.791  -0.02
Tl 0.825 0.175 0.500  0.00
Tl 0.500 0.500 0.500  0.00
Te 0.069 0.372 0.209  -0.02
Te 0.931 0.628 0.791  -0.02
Ti 0.000 0.000 0.000  0.90
Te 0.230 0.230 0.780  -0.01
Te 0.372 0.069 0.209  -0.02
Tl 0.175 0.825 0.500  0.00
La 0.335 0.665 0.000  0.01

## Properties
Space group: No. 12
Formation energy without anion corrections, meV/atom: -900